DFT (PBE) results for a geometry-optimized ThCoGeN structure.

extended XYZ file:
```
8
Lattice="-3.1467 0.9132 2.4176 -2.0870 -3.1447 -1.5285 3.1196 -4.9532 5.9313" Properties=species:S:1:pos:R:3 pbc="T T T"
Th 0.0824 -3.3600 1.3764
Th 0.4204 -2.7090 4.9995
Co 0.0000 0.0000 0.0000
Co -2.6168 -1.1157 0.4446
Ge -1.1389 -0.2333 2.0349
Ge 1.6416 -5.8357 4.3410
N 1.5598 -2.4766 2.9656
N -1.0570 -3.5923 3.4102
```

As for the total DFT energy (no corrections): -7.85 eV per atom. The volume comes out at 138.2 Å³/cell. The value obtained for the density of states at the Fermi level is 3.0 states/eV/cell. For the uncorrected formation energy, the calculation gives -0.982 eV/atom. The calculation puts the total magnetization at 0.0 μB/f.u.


DFT (PBE) results for a geometry-optimized UCoGeN structure.

extended XYZ file:
```
8
Lattice="3.8957 0.0000 0.0000 0.0000 3.8957 0.0000 0.0000 0.0000 7.7367" Properties=species:S:1:pos:R:3 pbc="T T T"
U 0.0000 1.9478 2.7367
U 1.9478 0.0000 5.0000
N 0.0000 0.0000 3.8683
N 1.9478 1.9478 3.8683
Co 1.9478 1.9478 0.0000
Co 0.0000 0.0000 0.0000
Ge 0.0000 1.9478 6.4677
Ge 1.9478 0.0000 1.2690
```

As for the total DFT energy (no corrections): -8.65 eV per atom. The volume comes out at 117.4 Å³/cell. The value obtained for the density of states at the Fermi level is 9.8 states/eV/cell. For the uncorrected formation energy, the calculation gives -0.819 eV/atom. The calculation puts the total magnetization at 0.9 μB/f.u.


DFT (PBE) results for a geometry-optimized UCo2GeN structure.

extended XYZ file:
```
10
Lattice="3.3289 0.0000 0.0000 -1.6645 5.7614 0.0000 0.0000 0.0000 6.8993" Properties=species:S:1:pos:R:3 pbc="T T T"
U 0.0000 5.4179 5.1744
U 1.6645 0.3435 1.7248
N 0.0000 0.0000 0.0000
N 0.0000 0.0000 3.4496
Co 0.0000 1.8573 3.7880
Co 0.0000 1.8573 6.5609
Co 1.6645 3.9041 3.1113
Co 1.6645 3.9041 0.3383
Ge 0.0000 2.9986 1.7248
Ge 1.6645 2.7628 5.1744
```

As for the total DFT energy (no corrections): -8.28 eV per atom. The volume comes out at 132.3 Å³/cell. The value obtained for the density of states at the Fermi level is 12.7 states/eV/cell. For the uncorrected formation energy, the calculation gives -0.596 eV/atom. The calculation puts the total magnetization at 0.6 μB/f.u.


DFT (PBE) results for a geometry-optimized V2CoGeN structure.

extended XYZ file:
```
5
Lattice="-0.3109 1.9646 -3.3557 -3.0130 -2.2498 -1.0380 -2.4053 2.4553 1.6603" Properties=species:S:1:pos:R:3 pbc="T T T"
Co -1.2027 1.2276 0.8301
N 0.0000 0.0000 0.0000
V -0.1554 0.9823 -1.6779
V -1.5065 -1.1249 -0.5190
Ge -2.8646 1.0851 -1.3667
```

As for the total DFT energy (no corrections): -8.12 eV per atom. The volume comes out at 58.1 Å³/cell. The value obtained for the density of states at the Fermi level is 4.9 states/eV/cell. For the uncorrected formation energy, the calculation gives -0.462 eV/atom. The calculation puts the total magnetization at 0.4 μB/f.u.